Record 1
ZnAuSe2: relaxed, PBE.

```
4
Lattice="2.804 0.000 0.000 0.000 5.315 0.000 0.000 0.000 5.315" Properties=species:S:1:pos:R:3 pbc="T T T"
Au 1.402 0.000 2.657
Se 0.000 2.657 2.657
Se 0.000 0.000 0.000
Zn 1.402 2.657 0.000
```

Computed properties:
The value obtained for the uncorrected formation energy is 95 kJ/mol of formula units. The mass density comes out at 8.8 g cm⁻³. The space group is No. 123. The crystal system is tetragonal. As for the total energy: -2.63 eV per atom.



Record 2
TaGaAu2: relaxed, PBE.

```
4
Lattice="-1.717 -1.738 -1.782 -2.285 -1.638 1.113 -6.941 5.984 -1.570" Properties=species:S:1:pos:R:3 pbc="T T T"
Ga -2.672 -2.247 -0.447
Au -2.701 0.662 -0.553
Au -5.584 4.186 -1.241
Ta -5.457 1.310 -1.117
```

Computed properties:
The mass density comes out at 15.0 g cm⁻³. The space group is No. 8. The formation energy is -2.3 kJ/mol of atoms. The crystal system is monoclinic. As for the total energy: -5.38 eV per atom.



Record 3
CaZnRe2: relaxed, PBE.

```
4
Lattice="-0.854 -2.604 4.755 4.997 -0.014 -2.271 0.598 2.182 1.302" Properties=species:S:1:pos:R:3 pbc="T T T"
Re 2.072 -1.309 1.242
Re 0.000 0.000 0.000
Zn -0.128 -0.211 3.029
Ca 2.797 1.084 -0.484
```

Computed properties:
The mass density comes out at 11.6 g cm⁻³. The space group is No. 65. The formation energy is 65.1 kJ/mol of atoms. The crystal system is orthorhombic. As for the total energy: -6.37 eV per atom.



Record 4
TlFe3Rh: relaxed, PBE.

```
5
Lattice="-0.654 4.632 0.171 -2.453 -0.492 3.956 3.933 0.463 2.496" Properties=species:S:1:pos:R:3 pbc="T T T"
Tl 0.413 2.301 3.312
Fe 1.966 0.232 1.248
Fe -1.226 -0.246 1.978
Fe -0.327 2.316 0.086
Rh 0.000 0.000 0.000
```

Computed properties:
The mass density comes out at 7.7 g cm⁻³. The space group is No. 221. The formation energy is 98.0 kJ/mol of atoms. The crystal system is cubic. As for the total energy: -6.01 eV per atom. Its polymorph energy (0 for the lowest one) is 0 meV/atom.



Record 5
NaOs3Pd: relaxed, PBE.

```
5
Lattice="4.403 0.000 0.000 0.000 4.403 0.000 0.000 0.000 4.403" Properties=species:S:1:pos:R:3 pbc="T T T"
Os 0.000 2.201 0.000
Os 2.201 0.000 0.000
Os 0.000 0.000 2.201
Na 0.000 0.000 0.000
Pd 2.201 2.201 2.201
```

Computed properties:
The mass density comes out at 13.6 g cm⁻³. The space group is No. 221. The formation energy is 293.5 kJ/mol of atoms. The crystal system is cubic. As for the total energy: -5.00 eV per atom. Its polymorph energy (0 for the lowest one) is 516 meV/atom.



Record 6
HfTi3Ag: relaxed, PBE.

```
5
Lattice="4.844 0.000 0.000 0.000 4.844 0.000 0.000 0.000 4.844" Properties=species:S:1:pos:R:3 pbc="T T T"
Ti 0.000 0.000 2.422
Ti 2.422 0.000 0.000
Ti 0.000 2.422 0.000
Hf 2.422 2.422 2.422
Ag 0.000 0.000 0.000
```

Computed properties:
The mass density comes out at 6.3 g cm⁻³. The space group is No. 221. The formation energy is 103.1 kJ/mol of atoms. The crystal system is cubic. As for the total energy: -6.23 eV per atom. Its polymorph energy (0 for the lowest one) is 0 meV/atom.



Q: mass density of number 5 (NaOs3Pd)?
A: 13.6 g cm⁻³



Q: Number 6 is which compound?
A: HfTi3Ag



Q: Which of these has the lowest mass density?
A: HfTi3Ag